A plane-wave DFT calculation with PBE-GGA was carried out for a relaxed structure of AcAsPt.

CIF file:
```
data_AcAsPt
_chemical_formula_sum 'Ac2 As2 Pt2'
_symmetry_space_group_name_H-M 'P 1'
_symmetry_Int_Tables_number 1
_cell_length_a 4.4309
_cell_length_b 5.8962
_cell_length_c 6.5593
_cell_angle_alpha 88.51
_cell_angle_beta 85.46
_cell_angle_gamma 71.49
loop_
_symmetry_equiv_pos_as_xyz
'x,y,z'
loop_
_atom_site_label
_atom_site_type_symbol
_atom_site_fract_x
_atom_site_fract_y
_atom_site_fract_z
_atom_site_occupancy
Ac1 Ac 0.0000 0.0000 0.0000 1
Ac2 Ac 0.2326 0.4677 0.4698 1
As1 As 0.3285 0.4159 0.9671 1
As2 As 0.5546 0.9102 0.3997 1
Pt1 Pt 0.5915 0.7006 0.7304 1
Pt2 Pt 0.7346 0.5799 0.1284 1
```

Summary:
M_tot in μB per cell: 0.00
VASP energy in eV per cell: -35.98
E_form in eV per atom: -1.06

A plane-wave DFT calculation with PBE-GGA was carried out for a relaxed structure of LiLa4Th3S8.

CIF file:
```
data_LiLa4Th3S8
_chemical_formula_sum 'Li3 La12 Th9 S24'
_symmetry_space_group_name_H-M 'R -3 m'
_symmetry_Int_Tables_number 166
_symmetry_space_group_name_Hall '-R 3 2"'
_cell_length_a 8.1480
_cell_length_b 8.1480
_cell_length_c 20.0040
_cell_angle_alpha 90.00
_cell_angle_beta 90.00
_cell_angle_gamma 120.00
loop_
_atom_site_label
_atom_site_type_symbol
_atom_site_fract_x
_atom_site_fract_y
_atom_site_fract_z
_atom_site_occupancy
Li1 Li 0.0000 0.0000 0.0000 1
La1 La 0.0000 0.0000 0.5000 1
La2 La 0.0000 0.5000 0.5000 1
Th1 Th 0.0000 0.5000 0.0000 1
S1 S 0.0000 0.0000 0.2520 1
S2 S 0.0090 0.5045 0.7449 1
```

Summary:
Formation energy without anion corrections in meV per atom: -1957
M_tot in μB per cell: 0.00
VASP energy in eV per cell: -324.64

A plane-wave DFT calculation with PBE-GGA was carried out for a relaxed structure of PrEr5Zn6.

CIF file:
```
data_PrEr5Zn6
_chemical_formula_sum 'Pr2 Er10 Zn12'
_symmetry_space_group_name_H-M 'C m m m'
_symmetry_Int_Tables_number 65
_symmetry_space_group_name_Hall '-C 2 2'
_cell_length_a 5.0242
_cell_length_b 15.1452
_cell_length_c 7.1603
_cell_angle_alpha 90.00
_cell_angle_beta 90.00
_cell_angle_gamma 90.00
loop_
_atom_site_label
_atom_site_type_symbol
_atom_site_fract_x
_atom_site_fract_y
_atom_site_fract_z
_atom_site_occupancy
Pr1 Pr 0.0000 0.0000 0.0000 1
Er1 Er 0.0000 0.0000 0.5000 1
Er2 Er 0.0000 0.3312 0.0000 1
Er3 Er 0.0000 0.3357 0.5000 1
Zn1 Zn 0.0000 0.1711 0.2584 1
Zn2 Zn 0.0000 0.5000 0.2590 1
```

Summary:
M_tot in μB per cell: 0.00
VASP energy in eV per cell: -78.44
E_form in eV per atom: -0.33

A plane-wave DFT calculation with PBE-GGA was carried out for a relaxed structure of Pr2SnSb4.

CIF file:
```
data_Pr2SnSb4
_chemical_formula_sum 'Pr2 Sn1 Sb4'
_symmetry_space_group_name_H-M 'P -4 m 2'
_symmetry_Int_Tables_number 115
_cell_length_a 4.3804
_cell_length_b 4.3804
_cell_length_c 11.5280
_cell_angle_alpha 90.00
_cell_angle_beta 90.00
_cell_angle_gamma 90.00
loop_
_symmetry_equiv_pos_as_xyz
'x,y,z'
'y,-x,-z'
'-x,-y,z'
'-y,x,-z'
'-x,y,z'
'-y,-x,-z'
'x,-y,z'
'y,x,-z'
loop_
_atom_site_label
_atom_site_type_symbol
_atom_site_fract_x
_atom_site_fract_y
_atom_site_fract_z
_atom_site_occupancy
Pr1 Pr 0.0000 0.5000 0.2179 1
Sn1 Sn 0.0000 0.0000 0.5000 1
Sb1 Sb 0.0000 0.0000 0.0000 1
Sb2 Sb 0.0000 0.5000 0.6852 1
Sb3 Sb 0.5000 0.5000 0.0000 1
```

Summary:
Formation energy without anion corrections in meV per atom: -656
M_tot in μB per cell: 0.00
VASP energy in eV per cell: -34.64

A plane-wave DFT calculation with PBE-GGA was carried out for a relaxed structure of RbMgSn4.

CIF file:
```
data_RbMgSn4
_chemical_formula_sum 'Rb4 Mg4 Sn16'
_symmetry_space_group_name_H-M 'F -4 3 m'
_symmetry_Int_Tables_number 216
_symmetry_space_group_name_Hall 'F -4 2 3'
_cell_length_a 9.0779
_cell_length_b 9.0779
_cell_length_c 9.0779
_cell_angle_alpha 90.00
_cell_angle_beta 90.00
_cell_angle_gamma 90.00
loop_
_atom_site_label
_atom_site_type_symbol
_atom_site_fract_x
_atom_site_fract_y
_atom_site_fract_z
_atom_site_occupancy
Rb1 Rb 0.0000 0.0000 0.0000 1
Mg1 Mg 0.2500 0.2500 0.7500 1
Sn1 Sn 0.1241 0.1241 0.3759 1
```

Summary:
M_tot in μB per cell: 0.00
VASP energy in eV per cell: -73.29
E_form in eV per atom: 0.04

A plane-wave DFT calculation with PBE-GGA was carried out for a relaxed structure of NaTbDy2Te4.

CIF file:
```
data_NaTbDy2Te4
_chemical_formula_sum 'Na1 Tb1 Dy2 Te4'
_symmetry_space_group_name_H-M 'P 1 2/m 1'
_symmetry_Int_Tables_number 10
_cell_length_a 7.6332
_cell_length_b 4.3529
_cell_length_c 7.6341
_cell_angle_alpha 90.00
_cell_angle_beta 108.89
_cell_angle_gamma 90.00
loop_
_symmetry_equiv_pos_as_xyz
'x,y,z'
'-x,-y,-z'
'-x,y,-z'
'x,-y,z'
loop_
_atom_site_label
_atom_site_type_symbol
_atom_site_fract_x
_atom_site_fract_y
_atom_site_fract_z
_atom_site_occupancy
Na1 Na 0.0000 0.0000 0.0000 1
Tb1 Tb 0.0000 0.5000 0.5000 1
Dy1 Dy 0.5000 0.0000 0.5000 1
Dy2 Dy 0.5000 0.5000 0.0000 1
Te1 Te 0.2512 0.0000 0.7509 1
Te2 Te 0.2537 0.5000 0.2527 1
```

Summary:
Formation energy without anion corrections in meV per atom: -1310
M_tot in μB per cell: 0.00
VASP energy in eV per cell: -38.20

A plane-wave DFT calculation with PBE-GGA was carried out for a relaxed structure of PrH12Rh4.

CIF file:
```
data_PrH12Rh4
_chemical_formula_sum 'Pr2 H24 Rh8'
_symmetry_space_group_name_H-M 'I m -3'
_symmetry_Int_Tables_number 204
_symmetry_space_group_name_Hall '-I 2 2 3'
_cell_length_a 6.9012
_cell_length_b 6.9012
_cell_length_c 6.9012
_cell_angle_alpha 90.00
_cell_angle_beta 90.00
_cell_angle_gamma 90.00
loop_
_atom_site_label
_atom_site_type_symbol
_atom_site_fract_x
_atom_site_fract_y
_atom_site_fract_z
_atom_site_occupancy
Pr1 Pr 0.0000 0.0000 0.0000 1
H1 H 0.0000 0.2636 0.2680 1
Rh1 Rh 0.2500 0.2500 0.2500 1
```

Summary:
M_tot in μB per cell: 0.00
VASP energy in eV per cell: -153.13

A plane-wave DFT calculation with PBE-GGA was carried out for a relaxed structure of Zn2CrCo.

CIF file:
```
data_Zn2CrCo
_chemical_formula_sum 'Zn6 Cr3 Co3'
_symmetry_space_group_name_H-M 'R -3 m'
_symmetry_Int_Tables_number 166
_symmetry_space_group_name_Hall '-R 3 2"'
_cell_length_a 2.5993
_cell_length_b 2.5993
_cell_length_c 25.9818
_cell_angle_alpha 90.00
_cell_angle_beta 90.00
_cell_angle_gamma 120.00
loop_
_atom_site_label
_atom_site_type_symbol
_atom_site_fract_x
_atom_site_fract_y
_atom_site_fract_z
_atom_site_occupancy
Zn1 Zn 0.0000 0.0000 0.2475 1
Cr1 Cr 0.0000 0.0000 0.0000 1
Co1 Co 0.0000 0.0000 0.5000 1
```

Summary:
M_tot in μB per cell: 7.15
VASP energy in eV per cell: -55.49
E_form in eV per atom: 0.20

A plane-wave DFT calculation with PBE-GGA was carried out for a relaxed structure of Sm3Tm2Hg2.

CIF file:
```
data_Sm3Tm2Hg2
_chemical_formula_sum 'Sm6 Tm4 Hg4'
_symmetry_space_group_name_H-M 'C 1 2/m 1'
_symmetry_Int_Tables_number 12
_cell_length_a 9.3306
_cell_length_b 5.3850
_cell_length_c 8.5507
_cell_angle_alpha 90.00
_cell_angle_beta 111.30
_cell_angle_gamma 90.00
loop_
_symmetry_equiv_pos_as_xyz
'x,y,z'
'-x,-y,-z'
'-x,y,-z'
'x,-y,z'
'x+1/2,y+1/2,z'
'-x+1/2,-y+1/2,-z'
'-x+1/2,y+1/2,-z'
'x+1/2,-y+1/2,z'
loop_
_atom_site_label
_atom_site_type_symbol
_atom_site_fract_x
_atom_site_fract_y
_atom_site_fract_z
_atom_site_occupancy
Sm1 Sm 0.0000 0.0000 0.0000 1
Sm2 Sm 0.1589 0.0000 0.4767 1
Tm1 Tm 0.0743 0.5000 0.7220 1
Hg1 Hg 0.2107 0.5000 0.1353 1
```

Summary:
M_tot in μB per cell: 0.00
VASP energy in eV per cell: -50.74
E_form in eV per atom: -0.24

A plane-wave DFT calculation with PBE-GGA was carried out for a relaxed structure of Zn5Ga4Ag2.

CIF file:
```
data_Zn5Ga4Ag2
_chemical_formula_sum 'Zn10 Ga8 Ag4'
_symmetry_space_group_name_H-M 'C 1 2/m 1'
_symmetry_Int_Tables_number 12
_cell_length_a 15.9539
_cell_length_b 2.8861
_cell_length_c 9.2196
_cell_angle_alpha 90.00
_cell_angle_beta 113.63
_cell_angle_gamma 90.00
loop_
_symmetry_equiv_pos_as_xyz
'x,y,z'
'-x,-y,-z'
'-x,y,-z'
'x,-y,z'
'x+1/2,y+1/2,z'
'-x+1/2,-y+1/2,-z'
'-x+1/2,y+1/2,-z'
'x+1/2,-y+1/2,z'
loop_
_atom_site_label
_atom_site_type_symbol
_atom_site_fract_x
_atom_site_fract_y
_atom_site_fract_z
_atom_site_occupancy
Zn1 Zn 0.0000 0.0000 0.0000 1
Zn2 Zn 0.1532 0.5000 0.1145 1
Zn3 Zn 0.2031 0.5000 0.8666 1
Ga1 Ga 0.0177 0.5000 0.7596 1
Ga2 Ga 0.1803 0.0000 0.3757 1
Ag1 Ag 0.1041 0.5000 0.5537 1
```

Summary:
M_tot in μB per cell: 0.00
VASP energy in eV per cell: -46.85
E_form in eV per atom: 0.07

A plane-wave DFT calculation with PBE-GGA was carried out for a relaxed structure of Li6Hg2Pb3.

CIF file:
```
data_Li6Hg2Pb3
_chemical_formula_sum 'Li12 Hg4 Pb6'
_symmetry_space_group_name_H-M 'I 4/m m m'
_symmetry_Int_Tables_number 139
_symmetry_space_group_name_Hall '-I 4 2'
_cell_length_a 4.7004
_cell_length_b 4.7004
_cell_length_c 23.8689
_cell_angle_alpha 90.00
_cell_angle_beta 90.00
_cell_angle_gamma 90.00
loop_
_atom_site_label
_atom_site_type_symbol
_atom_site_fract_x
_atom_site_fract_y
_atom_site_fract_z
_atom_site_occupancy
Li1 Li 0.0000 0.0000 0.2316 1
Li2 Li 0.0000 0.5000 0.0641 1
Hg1 Hg 0.0000 0.0000 0.1215 1
Pb1 Pb 0.0000 0.0000 0.3513 1
Pb2 Pb 0.0000 0.0000 0.5000 1
```

Summary:
M_tot in μB per cell: 0.00
VASP energy in eV per cell: -49.34
E_form in eV per atom: -0.13

A plane-wave DFT calculation with PBE-GGA was carried out for a relaxed structure of Li4U3CoS8.

CIF file:
```
data_Li4U3CoS8
_chemical_formula_sum 'Li12 U9 Co3 S24'
_symmetry_space_group_name_H-M 'R -3 m'
_symmetry_Int_Tables_number 166
_symmetry_space_group_name_Hall '-R 3 2"'
_cell_length_a 7.4664
_cell_length_b 7.4664
_cell_length_c 18.8452
_cell_angle_alpha 90.00
_cell_angle_beta 90.00
_cell_angle_gamma 120.00
loop_
_atom_site_label
_atom_site_type_symbol
_atom_site_fract_x
_atom_site_fract_y
_atom_site_fract_z
_atom_site_occupancy
Li1 Li 0.0000 0.0000 0.0000 1
Li2 Li 0.0000 0.5000 0.0000 1
U1 U 0.0000 0.5000 0.5000 1
Co1 Co 0.0000 0.0000 0.5000 1
S1 S 0.0000 0.0000 0.2550 1
S2 S 0.0150 0.5075 0.2489 1
```

Summary:
Formation energy without anion corrections in meV per atom: -1212
M_tot in μB per cell: 27.05
VASP energy in eV per cell: -303.10

What is the VASP energy in the fourth record? -34.64 eV per cell

What is the formula in the sixth record? NaTbDy2Te4

Repeat the eleventh record exactly.
A plane-wave DFT calculation with PBE-GGA was carried out for a relaxed structure of Li6Hg2Pb3.

CIF file:
```
data_Li6Hg2Pb3
_chemical_formula_sum 'Li12 Hg4 Pb6'
_symmetry_space_group_name_H-M 'I 4/m m m'
_symmetry_Int_Tables_number 139
_symmetry_space_group_name_Hall '-I 4 2'
_cell_length_a 4.7004
_cell_length_b 4.7004
_cell_length_c 23.8689
_cell_angle_alpha 90.00
_cell_angle_beta 90.00
_cell_angle_gamma 90.00
loop_
_atom_site_label
_atom_site_type_symbol
_atom_site_fract_x
_atom_site_fract_y
_atom_site_fract_z
_atom_site_occupancy
Li1 Li 0.0000 0.0000 0.2316 1
Li2 Li 0.0000 0.5000 0.0641 1
Hg1 Hg 0.0000 0.0000 0.1215 1
Pb1 Pb 0.0000 0.0000 0.3513 1
Pb2 Pb 0.0000 0.0000 0.5000 1
```

Summary:
M_tot in μB per cell: 0.00
VASP energy in eV per cell: -49.34
E_form in eV per atom: -0.13